Compound: AlCuRu
Source: Alexandria via LeMat-Bulk
Functional: GGA-PBE
Structure: optimized geometry

Lattice parameters (Å, degrees): 7.908 4.645 5.296 90.00 123.46 90.00
Space group C2 (No. 5)
Inequivalent atoms, fractional coordinates:
Al  0.000  0.000  0.000
Al  0.000  0.196  0.500
Cu  0.164  0.677  0.499
Ru  0.174  0.504  0.017

Total magnetic moment, μB/cell: 0.4
Energy above the most stable polymorph in this dataset, meV per atom: 153
Formation energy, eV per atom: -0.21
Density of states at the Fermi level, states/eV/cell: 11.96
V, A^3/atom: 13.53